[1]
Compound: Ag2AsRh
Source: Alexandria via LeMat-Bulk
Functional: PBE-GGA
Structure: relaxed

Unit cell a=4.2400 b=2.9766 c=5.6046 alpha=74.61 beta=90.00 gamma=90.00
Fractional positions:
As  0.0000  0.6763  0.5218
Rh  0.5000  0.5726  0.7306
Ag  0.0000  0.9419  0.9915
Ag  0.5000  0.3092  0.2561

Values from the calculation:
DOS(E_F)   2.3 states/eV per cell
Density   9.583 Mg/m³
ΔE_f   0.0363 eV/atom
Calculated total energy   -0.1613 hartree per atom

***

[2]
Compound: AgAsRh2
Source: Alexandria via LeMat-Bulk
Functional: PBE-GGA
Structure: relaxed

Unit cell a=4.9207 b=4.9207 c=4.9207 alpha=133.12 beta=133.12 gamma=68.47
Each line ends with the local moment (μB).
Fractional positions:
As  0.7500  0.2500  0.5000  0.00
Rh  0.0000  0.0000  0.0000  0.16
Rh  0.2500  0.7500  0.5000  0.18
Ag  0.5000  0.5000  0.0000  0.01

Values from the calculation:
DOS(E_F)   6.6 states/eV per cell
Density   10.350 Mg/m³
ΔE_f   0.1918 eV/atom
Calculated total energy   -0.1969 hartree per atom

***

[3]
Compound: AgAsRh2
Source: Alexandria via LeMat-Bulk
Functional: PBE-GGA
Structure: relaxed

Unit cell a=2.9784 b=2.9784 c=6.9690 alpha=90.00 beta=90.00 gamma=89.98
Fractional positions:
As  0.5000  0.5000  0.7500
Rh  0.0000  0.0000  0.9602
Rh  0.0000  0.0000  0.5398
Ag  0.5000  0.5000  0.2500

Values from the calculation:
DOS(E_F)   2.5 states/eV per cell
Density   10.438 Mg/m³
ΔE_f   -0.1084 eV/atom
Calculated total energy   -0.2080 hartree per atom

***

[4]
Compound: AgAsRh2
Source: Alexandria via LeMat-Bulk
Functional: PBE-GGA
Structure: relaxed

Unit cell a=3.4529 b=4.2192 c=4.2192 alpha=90.00 beta=90.00 gamma=90.00
Fractional positions:
As  0.5000  0.0000  0.5000
Rh  0.0000  0.0000  0.0000
Rh  0.0000  0.5000  0.5000
Ag  0.5000  0.5000  0.0000

Values from the calculation:
DOS(E_F)   3.2 states/eV per cell
Density   10.498 Mg/m³
ΔE_f   0.0621 eV/atom
Calculated total energy   -0.2017 hartree per atom

***

[5]
Compound: AgAsRh2
Source: Alexandria via LeMat-Bulk
Functional: PBE-GGA
Structure: relaxed

Unit cell a=4.4552 b=2.8997 c=5.1776 alpha=73.89 beta=90.00 gamma=90.00
Fractional positions:
As  0.5000  0.9129  0.7986
Rh  0.0000  0.8257  0.9754
Rh  0.5000  0.2008  0.2254
Ag  0.0000  0.5606  0.5005

Values from the calculation:
DOS(E_F)   2.8 states/eV per cell
Density   10.042 Mg/m³
ΔE_f   0.0424 eV/atom
Calculated total energy   -0.2024 hartree per atom

***

[6]
Compound: AgAsRh2
Source: Alexandria via LeMat-Bulk
Functional: PBE-GGA
Structure: relaxed

Unit cell a=3.0147 b=4.7275 c=4.4342 alpha=90.00 beta=90.00 gamma=90.00
Fractional positions:
As  0.0000  0.5000  0.5000
Rh  0.0000  0.0000  0.0000
Rh  0.5000  0.5000  0.0000
Ag  0.5000  0.0000  0.5000

Values from the calculation:
DOS(E_F)   3.7 states/eV per cell
Density   10.211 Mg/m³
ΔE_f   0.2252 eV/atom
Calculated total energy   -0.1957 hartree per atom

***

[7]
Compound: Ag2AsRh
Source: Alexandria via LeMat-Bulk
Functional: PBE-GGA
Structure: relaxed

Unit cell a=2.8498 b=2.8498 c=9.6850 alpha=90.00 beta=90.00 gamma=118.43
Each line ends with the local moment (μB).
Fractional positions:
As  0.5000  0.5000  0.2500  0.00
Rh  0.5000  0.5000  0.7500  0.36
Ag  0.0000  0.0000  0.9933  0.01
Ag  0.0000  0.0000  0.5067  0.01

Values from the calculation:
DOS(E_F)   3.7 states/eV per cell
Density   9.448 Mg/m³
ΔE_f   0.3022 eV/atom
Calculated total energy   -0.1515 hartree per atom

***

[8]
Compound: AgAsRh3
Source: Alexandria via LeMat-Bulk
Functional: PBE-GGA
Structure: relaxed

Unit cell a=4.5446 b=4.5446 c=4.5446 alpha=90.00 beta=90.00 gamma=90.00
Fractional positions:
As  0.0000  0.0000  0.0000
Rh  0.0000  0.5000  0.0000
Rh  0.0000  0.0000  0.5000
Rh  0.5000  0.0000  0.0000
Ag  0.5000  0.5000  0.5000

Values from the calculation:
DOS(E_F)   6.5 states/eV per cell
Density   8.695 Mg/m³
ΔE_f   0.4310 eV/atom
Calculated total energy   -0.2014 hartree per atom